## SmEr6Th12 (GGA-PBE)

Data for a relaxed structure of SmEr6Th12.

Structure (POSCAR):
```
SmEr6Th12
1.0
6.6480 3.8382 4.1167
-6.6480 3.8382 4.1167
0.0000 -7.6764 4.1167
Sm Er Th
1 6 12
direct
0.0000 0.0000 0.0000
0.0997 0.0997 0.6608
0.0997 0.6608 0.0997
0.3392 0.9003 0.9003
0.6608 0.0997 0.0997
0.9003 0.3392 0.9003
0.9003 0.9003 0.3392
0.0830 0.3499 0.3499
0.2462 0.5000 0.7538
0.2462 0.7538 0.5000
0.3499 0.0830 0.3499
0.3499 0.3499 0.0830
0.5000 0.2462 0.7538
0.5000 0.7538 0.2462
0.6501 0.6501 0.9170
0.6501 0.9170 0.6501
0.7538 0.2462 0.5000
0.7538 0.5000 0.2462
0.9170 0.6501 0.6501
```

Values from the calculation:
**Final energy**: -116.53 eV/cell
**ΔE_f**: 0.242 eV/atom

***

## GaTeRh3 (GGA-PBE)

Data for a relaxed structure of GaTeRh3.

Structure (POSCAR):
```
GaTeRh3
1.0
4.8428 0.0000 0.0000
0.0000 4.8428 0.0000
0.0000 0.0000 4.8428
Ga Te Rh
1 1 3
direct
0.0000 0.0000 0.0000
0.5000 0.5000 0.5000
0.0000 0.5000 0.5000
0.5000 0.0000 0.5000
0.5000 0.5000 0.0000
```

Values from the calculation:
**Final energy**: -24.10 eV/cell
**Raw formation energy**: 0.82 eV per atom
**Energy above the most stable polymorph in this dataset**: 28.6 kJ/mol of atoms

***

## ErCu3Ni2 (GGA-PBE)

Data for a relaxed structure of ErCu3Ni2.

Structure (POSCAR):
```
ErCu3Ni2
1.0
2.7448 1.5847 6.4231
-2.7448 1.5847 6.4231
0.0000 -3.1694 6.4231
Er Cu Ni
2 6 4
direct
0.2237 0.2237 0.2237
0.7763 0.7763 0.7763
0.2481 0.7194 0.7194
0.2806 0.2806 0.7519
0.2806 0.7519 0.2806
0.7194 0.2481 0.7194
0.7194 0.7194 0.2481
0.7519 0.2806 0.2806
0.0000 0.0000 0.0000
0.0000 0.5000 0.5000
0.5000 0.0000 0.5000
0.5000 0.5000 0.0000
```

Values from the calculation:
**Final energy**: -57.14 eV/cell
**ΔE_f**: -0.026 eV/atom

***

## Ac8Ir3Pt3N (GGA-PBE)

Data for a relaxed structure of Ac8Ir3Pt3N.

Structure (POSCAR):
```
Ac8Ir3Pt3N
1.0
4.2906 2.4772 7.1409
-4.2906 2.4772 7.1409
0.0000 -4.9543 7.1409
Ac Ir Pt N
8 3 3 1
direct
0.2474 0.2474 0.2474
0.2635 0.7292 0.7292
0.2708 0.2708 0.7365
0.2708 0.7365 0.2708
0.7292 0.2635 0.7292
0.7292 0.7292 0.2635
0.7365 0.2708 0.2708
0.7526 0.7526 0.7526
0.0000 0.0000 0.5000
0.0000 0.5000 0.0000
0.5000 0.0000 0.0000
0.0000 0.5000 0.5000
0.5000 0.0000 0.5000
0.5000 0.5000 0.0000
0.5000 0.5000 0.5000
```

Values from the calculation:
**Final energy**: -98.58 eV/cell
**Raw formation energy**: -0.85 eV per atom

***

## Ca2CdNiSn (GGA-PBE)

Data for a relaxed structure of Ca2CdNiSn.

Structure (POSCAR):
```
Ca2CdNiSn
1.0
5.4474 0.0000 0.0000
0.0000 5.4474 0.0000
0.0000 0.0000 4.7673
Ca Cd Ni Sn
2 1 1 1
direct
0.0000 0.5000 0.0000
0.5000 0.0000 0.0000
0.0000 0.0000 0.5000
0.5000 0.5000 0.0000
0.5000 0.5000 0.5000
```

Values from the calculation:
**Final energy**: -16.13 eV/cell
**ΔE_f**: -0.286 eV/atom

***

## BaCeSn2 (GGA-PBE)

Data for a relaxed structure of BaCeSn2.

Structure (POSCAR):
```
BaCeSn2
1.0
3.6837 0.0000 0.0000
0.0000 3.6837 0.0000
0.0000 0.0000 9.4463
Ba Ce Sn
1 1 2
direct
0.0000 0.0000 0.0000
0.0000 0.0000 0.5000
0.5000 0.5000 0.2709
0.5000 0.5000 0.7291
```

Values from the calculation:
**Final energy**: -18.06 eV/cell
**ΔE_f**: -0.550 eV/atom

***

## K3Pu3VS8 (GGA-PBE)

Data for a relaxed structure of K3Pu3VS8.

Structure (POSCAR):
```
K3Pu3VS8
1.0
3.9342 2.2714 7.4828
-3.9342 2.2714 7.4828
0.0000 -4.5428 7.4828
K Pu V S
3 3 1 8
direct
0.0000 0.5000 0.5000
0.5000 0.0000 0.5000
0.5000 0.5000 0.0000
0.0000 0.0000 0.5000
0.0000 0.5000 0.0000
0.5000 0.0000 0.0000
0.5000 0.5000 0.5000
0.2343 0.2343 0.2343
0.2518 0.7167 0.7167
0.2833 0.2833 0.7482
0.2833 0.7482 0.2833
0.7167 0.2518 0.7167
0.7167 0.7167 0.2518
0.7482 0.2833 0.2833
0.7657 0.7657 0.7657
```

Values from the calculation:
**Final energy**: -109.87 eV/cell
**Raw formation energy**: -1.43 eV per atom

***

## CaPrIr (GGA-PBE)

Data for a relaxed structure of CaPrIr.

Structure (POSCAR):
```
CaPrIr
1.0
6.9744 0.0000 0.0000
0.0000 6.9744 0.0000
0.0000 0.0000 6.9744
Ca Pr Ir
4 4 4
direct
0.0000 0.0000 0.0000
0.0000 0.5000 0.5000
0.5000 0.0000 0.5000
0.5000 0.5000 0.0000
0.0000 0.0000 0.5000
0.0000 0.5000 0.0000
0.5000 0.0000 0.0000
0.5000 0.5000 0.5000
0.2500 0.2500 0.7500
0.2500 0.7500 0.2500
0.7500 0.2500 0.2500
0.7500 0.7500 0.7500
```

Values from the calculation:
**Final energy**: -67.70 eV/cell
**ΔE_f**: -0.427 eV/atom
**Energy above the most stable polymorph in this dataset**: 2.9 kJ/mol of atoms